## w
The following is a PBE-GGA calculation of SrY3Te after structural relaxation, from the Alexandria database.

Cell lengths 5.821, 5.821, 5.821 Å; angles 90.00, 90.00, 90.00 degrees
Fractional positions:
Sr (0.000, 0.000, 0.000)
Y (0.000, 0.500, 0.500)
Y (0.500, 0.000, 0.500)
Y (0.500, 0.500, 0.000)
Te (0.500, 0.500, 0.500)

=====

## x
The following is a PBE-GGA calculation of SrY3Te after structural relaxation, from the Alexandria database.

Cell lengths 5.686, 5.686, 5.686 Å; angles 90.00, 90.00, 90.00 degrees
Fractional positions:
Sr (0.000, 0.000, 0.000)
Y (0.000, 0.000, 0.500)
Y (0.000, 0.500, 0.000)
Y (0.500, 0.000, 0.000)
Te (0.500, 0.500, 0.500)

=====

Most stable: w. Least stable: x.

=====

## w
The following is a PBE-GGA calculation of SrZnTe3 after structural relaxation, from the Alexandria database.

Cell lengths 6.365, 6.365, 6.365 Å; angles 90.00, 90.00, 90.00 degrees
Fractional positions:
Sr (0.000, 0.000, 0.000)
Zn (0.500, 0.500, 0.500)
Te (0.000, 0.000, 0.500)
Te (0.000, 0.500, 0.000)
Te (0.500, 0.000, 0.000)

=====

## x
The following is a PBE-GGA calculation of SrZnTe3 after structural relaxation, from the Alexandria database.

Cell lengths 5.428, 5.428, 5.428 Å; angles 90.00, 90.00, 90.00 degrees
Fractional positions:
Sr (0.000, 0.000, 0.000)
Zn (0.500, 0.500, 0.500)
Te (0.000, 0.500, 0.500)
Te (0.500, 0.000, 0.500)
Te (0.500, 0.500, 0.000)

=====

Most stable: x. Least stable: w.

=====

## w
The following is a PBE-GGA calculation of SrZn3Te after structural relaxation, from the Alexandria database.

Cell lengths 5.857, 5.857, 5.857 Å; angles 90.00, 90.00, 90.00 degrees
Fractional positions:
Sr (0.000, 0.000, 0.000)
Zn (0.000, 0.000, 0.500)
Zn (0.000, 0.500, 0.000)
Zn (0.500, 0.000, 0.000)
Te (0.500, 0.500, 0.500)

=====

## x
The following is a PBE-GGA calculation of SrZn3Te after structural relaxation, from the Alexandria database.

Cell lengths 5.376, 5.376, 5.376 Å; angles 90.00, 90.00, 90.00 degrees
Fractional positions:
Sr (0.000, 0.000, 0.000)
Zn (0.000, 0.500, 0.500)
Zn (0.500, 0.000, 0.500)
Zn (0.500, 0.500, 0.000)
Te (0.500, 0.500, 0.500)

=====

Most stable: x. Least stable: w.